[1]
## BaAg3Hg3 (PBE)

Data for a geometry-optimized BaAg3Hg3 structure.

## Properties
Volume   25.5 Å³/atom
N(E_F)   0.491 states/eV/atom
Calculated formation energy   -16 kJ per mole of atoms
DFT total energy   -1.79 eV per atom

Unit cell a=7.570 b=4.967 c=9.491 alpha=90.00 beta=92.17 gamma=90.00
Fractional coordinates of all 14 atoms:
Ba: 0.123 0.250 0.326
Ba: 0.877 0.750 0.674
Ag: 0.306 0.250 0.998
Ag: 0.376 0.750 0.836
Ag: 0.421 0.750 0.202
Ag: 0.579 0.250 0.798
Ag: 0.624 0.250 0.164
Ag: 0.694 0.750 0.002
Hg: 0.092 0.750 0.054
Hg: 0.204 0.250 0.690
Hg: 0.367 0.750 0.521
Hg: 0.633 0.250 0.479
Hg: 0.796 0.750 0.310
Hg: 0.908 0.250 0.946

---

[2]
## Na2SrPaBr8 (PBE)

Data for a geometry-optimized Na2SrPaBr8 structure.

## Properties
Volume   37.4 Å³/atom
E_form (uncorrected)   -1.64 eV per atom
N(E_F)   0.057 states/eV/atom
DFT total energy   -3.90 eV per atom

Unit cell a=6.935 b=9.056 c=7.156 alpha=90.00 beta=93.40 gamma=90.00
Fractional coordinates of all 12 atoms:
Na: 0.000 0.236 0.000
Na: 0.000 0.764 0.000
Sr: 0.500 0.000 0.500
Pa: 0.500 0.500 0.500
Br: 0.222 0.000 0.172
Br: 0.234 0.500 0.189
Br: 0.285 0.274 0.665
Br: 0.285 0.726 0.665
Br: 0.715 0.274 0.335
Br: 0.715 0.726 0.335
Br: 0.766 0.500 0.811
Br: 0.778 0.000 0.828

---

[3]
## BaMoPPd2 (PBE)

Data for a geometry-optimized BaMoPPd2 structure.

## Properties
Volume   23.3 Å³/atom
N(E_F)   1.621 states/eV/atom
Calculated formation energy   79 kJ per mole of atoms
DFT total energy   -4.89 eV per atom

Unit cell a=4.508 b=4.508 c=5.731 alpha=90.00 beta=90.00 gamma=90.00
Fractional coordinates of all 5 atoms:
Ba: 0.000 0.000 0.000
Mo: 0.500 0.500 0.000
P: 0.000 0.000 0.500
Pd: 0.000 0.500 0.500
Pd: 0.500 0.000 0.500

---

[4]
## ScBi3F (PBE)

Data for a geometry-optimized ScBi3F structure.

## Properties
Polymorph energy (0 for the lowest one)   379.2 meV/atom
Volume   33.6 Å³/atom
E_form (uncorrected)   -0.12 eV per atom
N(E_F)   0.495 states/eV/atom
DFT total energy   -4.09 eV per atom

Unit cell a=5.515 b=5.515 c=5.515 alpha=90.00 beta=90.00 gamma=90.00
Fractional coordinates of all 5 atoms:
Sc: 0.000 0.000 0.000
Bi: 0.000 0.000 0.500
Bi: 0.000 0.500 0.000
Bi: 0.500 0.000 0.000
F: 0.500 0.500 0.500

---

[5]
## NdHoGaAu (PBE)

Data for a geometry-optimized NdHoGaAu structure.

## Properties
Polymorph energy (0 for the lowest one)   0.0 meV/atom
Volume   25.0 Å³/atom
N(E_F)   0.881 states/eV/atom
Calculated formation energy   -66 kJ per mole of atoms
DFT total energy   -4.60 eV per atom

Unit cell a=4.546 b=6.027 c=6.027 alpha=37.29 beta=90.00 gamma=90.00
Fractional coordinates of all 4 atoms:
Nd: 0.000 0.000 0.000
Ho: 0.500 0.285 0.285
Ga: 0.500 0.570 0.570
Au: 0.000 0.727 0.727

---

[6]
## SrDyGa2Rh2 (PBE)

Data for a geometry-optimized SrDyGa2Rh2 structure.

## Properties
Volume   21.9 Å³/atom
N(E_F)   0.663 states/eV/atom
Calculated formation energy   -69 kJ per mole of atoms
DFT total energy   -5.22 eV per atom

Unit cell a=4.353 b=4.353 c=7.996 alpha=90.00 beta=90.00 gamma=120.00
Fractional coordinates of all 6 atoms:
Sr: 0.000 0.000 0.000
Dy: 0.000 0.000 0.500
Ga: 0.333 0.667 0.280
Ga: 0.667 0.333 0.720
Rh: 0.333 0.667 0.700
Rh: 0.667 0.333 0.300